Record 1
The following is a DFT calculation (PBE) of an optimized crystal structure of K6Rb2O.

Unit cell a=12.827 b=11.336 c=9.893 alpha=90.00 beta=127.76 gamma=90.00
Space group C2/m (No. 12)
Unique sites:
K 0.040 0.000 0.262 [4 per cell]
K 0.184 0.168 0.671 [8 per cell]
Rb 0.059 0.500 0.782 [4 per cell]
O 0.000 0.000 0.500 [2 per cell]

Properties
D(E_F) in states/eV/f.u.: 5.44
VASP energy in hartree per atom: -0.0670

***

Record 2
The following is a DFT calculation (PBE) of an optimized crystal structure of K7Rb12O.

Unit cell a=22.2542 b=22.2542 c=11.2130 alpha=90.00 beta=90.00 gamma=120.00
Space group R-3 (No. 148, hexagonal axes)
Unique sites:
K 0.0000 0.0000 0.0000 [3 per cell]
K 0.0574 0.1141 0.3624 [18 per cell]
Rb 0.0005 0.3964 0.0009 [18 per cell]
Rb 0.0941 0.5471 0.6135 [18 per cell]
O 0.0000 0.0000 0.5000 [3 per cell]

Properties
D(E_F) in states/eV/f.u.: 14.22
VASP energy in hartree per atom: -0.0491

***

Record 3
The following is a DFT calculation (PBE) of an optimized crystal structure of K6Rb8O.

Unit cell a=12.6106 b=12.6106 c=23.5035 alpha=90.00 beta=90.00 gamma=120.00
Space group R-3 (No. 148, hexagonal axes)
Unique sites:
K 0.0716 0.2433 0.4227 [18 per cell]
Rb 0.0000 0.0000 0.2600 [6 per cell]
Rb 0.0425 0.2019 0.9307 [18 per cell]
O 0.0000 0.0000 0.0000 [3 per cell]

Properties
D(E_F) in states/eV/f.u.: 9.27
VASP energy in hartree per atom: -0.0543

***

Record 4
The following is a DFT calculation (PBE) of an optimized crystal structure of K3RbO2.

Unit cell a=15.663 b=4.313 c=11.718 alpha=90.00 beta=120.91 gamma=90.00
Space group C2/m (No. 12)
Unique sites:
K 0.029 0.000 0.285 [4 per cell]
K 0.091 0.500 0.649 [4 per cell]
K 0.225 0.000 0.593 [4 per cell]
Rb 0.195 0.000 0.060 [4 per cell]
O 0.112 0.500 0.431 [4 per cell]
O 0.177 0.000 0.807 [4 per cell]

Properties
D(E_F) in states/eV/f.u.: 1.69
VASP energy in hartree per atom: -0.1226